(1)
Material: Pr3GeP
Method: DFT, PBE
State: relaxed

Unit cell a=4.388 b=6.900 c=9.421 alpha=90.00 beta=90.00 gamma=90.00
Sites, in units of the cell vectors:
Pr: 0.250 0.017 0.165
Pr: 0.250 0.250 0.569
Pr: 0.250 0.483 0.165
Pr: 0.750 0.517 0.835
Pr: 0.750 0.750 0.431
Pr: 0.750 0.983 0.835
Ge: 0.250 0.750 0.644
Ge: 0.750 0.250 0.356
P: 0.250 0.250 0.895
P: 0.750 0.750 0.105

- DOS at the Fermi energy: 7.553 states/eV per cell
- Total energy: -5.80 eV/atom
- Symmetry: Pmmn
- ΔE_f: -0.929 eV/atom
- Calculated density: 6.13 g/cm3
- Magnetic moment: 0.00 μB per cell

***

(2)
Material: Nd2YSi
Method: DFT, PBE
State: relaxed

Unit cell a=11.123 b=11.123 c=11.123 alpha=19.27 beta=19.27 gamma=19.27
Sites, in units of the cell vectors:
Nd: 0.107 0.107 0.107
Nd: 0.893 0.893 0.893
Y: 0.000 0.000 0.000
Si: 0.500 0.500 0.500

- DOS at the Fermi energy: 6.104 states/eV per cell
- Total energy: -5.30 eV/atom
- Symmetry: R-3m
- Energy above the most stable polymorph in this dataset: 0.303 eV/atom
- Formation energy from raw total energies: 0.060 eV/atom
- Calculated density: 5.14 g/cm3
- Magnetic moment: 0.77 μB per cell

***

(3)
Material: LaH6Pt3
Method: DFT, PBE
State: relaxed

Unit cell a=4.893 b=4.893 c=5.732 alpha=115.42 beta=115.42 gamma=60.21
Sites, in units of the cell vectors:
La: 0.000 0.000 0.000
H: 0.110 0.558 0.224
H: 0.442 0.890 0.776
H: 0.444 0.444 0.779
H: 0.556 0.556 0.221
H: 0.558 0.110 0.224
H: 0.890 0.442 0.776
Pt: 0.214 0.214 0.643
Pt: 0.500 0.500 0.500
Pt: 0.786 0.786 0.357

- DOS at the Fermi energy: 2.792 states/eV per cell
- Total energy: -4.66 eV/atom
- Symmetry: C2/m
- Calculated density: 11.73 g/cm3
- Magnetic moment: 0.00 μB per cell

***

(4)
Material: Er2Si2Tc2Ge
Method: DFT, PBE
State: relaxed

Unit cell a=5.402 b=5.402 c=7.671 alpha=120.97 beta=120.97 gamma=45.11
Sites, in units of the cell vectors:
Er: 0.223 0.223 0.301
Er: 0.777 0.777 0.699
Si: 0.172 0.172 0.892
Si: 0.828 0.828 0.108
Tc: 0.463 0.463 0.130
Tc: 0.537 0.537 0.870
Ge: 0.000 0.000 0.500

- DOS at the Fermi energy: 4.452 states/eV per cell
- Total energy: -6.79 eV/atom
- Symmetry: C2/m
- Formation energy from raw total energies: -0.320 eV/atom
- Calculated density: 8.31 g/cm3
- Magnetic moment: 0.00 μB per cell

***

(5)
Material: RbNaSe2Br
Method: DFT, PBE
State: relaxed

Unit cell a=6.342 b=6.342 c=6.403 alpha=90.00 beta=90.00 gamma=90.00
Sites, in units of the cell vectors:
Rb: 0.000 0.000 0.000
Na: 0.500 0.500 0.500
Se: 0.000 0.500 0.000
Se: 0.500 0.000 0.000
Br: 0.000 0.000 0.500

- DOS at the Fermi energy: 7.155 states/eV per cell
- Total energy: -2.17 eV/atom
- Symmetry: P4/mmm
- Energy above the most stable polymorph in this dataset: 0.415 eV/atom
- Formation energy from raw total energies: 0.020 eV/atom
- Calculated density: 2.23 g/cm3
- Magnetic moment: 3.00 μB per cell

***

(6)
Material: Sc2Zn2Sn
Method: DFT, PBE
State: relaxed

Unit cell a=9.006 b=9.006 c=9.006 alpha=157.52 beta=157.52 gamma=32.00
Sites, in units of the cell vectors:
Sc: 0.109 0.109 0.000
Sc: 0.891 0.891 0.000
Zn: 0.250 0.750 0.500
Zn: 0.750 0.250 0.500
Sn: 0.500 0.500 0.000

- DOS at the Fermi energy: 5.821 states/eV per cell
- Total energy: -4.04 eV/atom
- Symmetry: I4/mmm
- ΔE_f: -0.193 eV/atom
- Calculated density: 5.28 g/cm3
- Magnetic moment: 0.00 μB per cell

***

(7)
Material: Ac6PrNi3
Method: DFT, PBE
State: relaxed

Unit cell a=9.294 b=9.294 c=7.689 alpha=90.00 beta=90.00 gamma=99.71
Sites, in units of the cell vectors:
Ac: 0.027 0.418 0.334
Ac: 0.034 0.966 0.500
Ac: 0.226 0.774 0.159
Ac: 0.295 0.375 0.970
Ac: 0.375 0.295 0.470
Ac: 0.418 0.027 0.834
Ac: 0.582 0.973 0.334
Ac: 0.625 0.705 0.970
Ac: 0.705 0.625 0.470
Ac: 0.774 0.226 0.659
Ac: 0.966 0.034 0.000
Ac: 0.973 0.582 0.834
Pr: 0.330 0.670 0.602
Pr: 0.670 0.330 0.102
Ni: 0.097 0.289 0.678
Ni: 0.289 0.097 0.178
Ni: 0.419 0.581 0.278
Ni: 0.581 0.419 0.778
Ni: 0.711 0.903 0.678
Ni: 0.903 0.711 0.178

- DOS at the Fermi energy: 22.972 states/eV per cell
- Total energy: -4.78 eV/atom
- Symmetry: Cmc2_1
- ΔE_f: -0.101 eV/atom
- Calculated density: 8.52 g/cm3
- Magnetic moment: 0.00 μB per cell

***

(8)
Material: K2PbAu
Method: DFT, PBE
State: relaxed

Unit cell a=6.205 b=6.205 c=3.767 alpha=90.22 beta=90.22 gamma=115.38
Sites, in units of the cell vectors:
K: 0.000 0.500 0.000
K: 0.500 0.000 0.000
Pb: 0.000 0.000 0.500
Au: 0.500 0.500 0.500

- DOS at the Fermi energy: 2.409 states/eV per cell
- Total energy: -2.37 eV/atom
- Symmetry: C2/m
- ΔE_f: -0.079 eV/atom
- Calculated density: 6.11 g/cm3
- Magnetic moment: 0.28 μB per cell

***

(9)
Material: ZrMo
Method: DFT, PBE
State: relaxed

Unit cell a=4.712 b=4.712 c=4.712 alpha=60.00 beta=60.00 gamma=60.00
Sites, in units of the cell vectors:
Zr: 0.125 0.125 0.125
Zr: 0.875 0.875 0.875
Mo: 0.375 0.375 0.375
Mo: 0.625 0.625 0.625

- DOS at the Fermi energy: 5.170 states/eV per cell
- Total energy: -9.61 eV/atom
- Symmetry: Fd-3m
- Energy above the most stable polymorph in this dataset: 0.119 eV/atom
- ΔE_f: 0.078 eV/atom
- Calculated density: 8.40 g/cm3
- Magnetic moment: 0.00 μB per cell

***

(10)
Material: TeRhSe2
Method: DFT, PBE
State: relaxed

Unit cell a=3.060 b=3.060 c=10.020 alpha=90.00 beta=90.00 gamma=90.00
Sites, in units of the cell vectors:
Te: 0.000 0.000 0.000
Rh: 0.000 0.000 0.500
Se: 0.500 0.500 0.344
Se: 0.500 0.500 0.656

- DOS at the Fermi energy: 3.373 states/eV per cell
- Total energy: -4.32 eV/atom
- Symmetry: P4/mmm
- Formation energy from raw total energies: 0.044 eV/atom
- Calculated density: 6.88 g/cm3
- Magnetic moment: 0.00 μB per cell

***

(11)
Material: CaDy2TmTl4
Method: DFT, PBE
State: relaxed

Unit cell a=9.329 b=9.329 c=9.329 alpha=33.53 beta=33.53 gamma=33.53
Sites, in units of the cell vectors:
Ca: 0.000 0.000 0.000
Dy: 0.252 0.252 0.252
Dy: 0.748 0.748 0.748
Tm: 0.500 0.500 0.500
Tl: 0.127 0.127 0.127
Tl: 0.377 0.377 0.377
Tl: 0.623 0.623 0.623
Tl: 0.873 0.873 0.873

- DOS at the Fermi energy: 5.442 states/eV per cell
- Total energy: -3.49 eV/atom
- Symmetry: R-3m
- ΔE_f: -0.343 eV/atom
- Calculated density: 10.17 g/cm3
- Magnetic moment: 0.00 μB per cell

***

(12)
Material: Mn2CdCo
Method: DFT, PBE
State: relaxed

Unit cell a=4.358 b=4.358 c=4.358 alpha=60.00 beta=60.00 gamma=60.00
Sites, in units of the cell vectors:
Mn: 0.000 0.000 0.000
Mn: 0.250 0.250 0.250
Cd: 0.750 0.750 0.750
Co: 0.500 0.500 0.500

- DOS at the Fermi energy: 5.458 states/eV per cell
- Total energy: -6.21 eV/atom
- Symmetry: F-43m
- ΔE_f: 0.383 eV/atom
- Calculated density: 7.98 g/cm3
- Magnetic moment: 8.15 μB per cell